Density functional theory data (PBE-GGA) for Cs3ZnRu after structural relaxation.

a b c (Å): 6.1112 6.1112 6.1112
angles (deg): 90.00 90.00 90.00
Closest atoms and distances in Å follow each position.
Element x y z (fractional)
Cs  0.0000  0.5000  0.0000  2 Ru 3.06
Cs  0.0000  0.0000  0.5000  2 Ru 3.06
Cs  0.5000  0.0000  0.0000  2 Ru 3.06
Ru  0.0000  0.0000  0.0000  6 Cs 3.06
Zn  0.5000  0.5000  0.5000  12 Cs 4.32

Output
Total magnetization (Bohr magnetons per cell): 0.0
Space group: Pm-3m
Formation energy (eV/atom): 0.89